Th2TlAs after structural relaxation, computed with PBE.

Results
Magnetization   0.0 μB/cell
Energy relative to the lowest polymorph listed for this composition   0.11 eV per formula unit

Lattice parameters (Å, degrees): 8.8999 8.8999 8.8999 26.16 26.16 26.16
Atoms (fractional coordinates):
Th1 0.0000 0.0000 0.0000
Th2 0.1944 0.1944 0.1944
Tl1 0.7641 0.7641 0.7641
As1 0.5968 0.5968 0.5968